No. 1
Material: LiTbSmSi
Method: DFT, GGA-PBE
State: optimized geometry

```
LiTbSmSi
1.0
7.1229 0.0000 0.0000
0.0000 7.1229 0.0000
0.0000 0.0000 7.1229
Li Tb Sm Si
4 4 4 4
direct
0.0000 0.0000 0.0000
0.0000 0.5000 0.5000
0.5000 0.0000 0.5000
0.5000 0.5000 0.0000
0.2500 0.2500 0.2500
0.2500 0.7500 0.7500
0.7500 0.2500 0.7500
0.7500 0.7500 0.2500
0.2500 0.2500 0.7500
0.2500 0.7500 0.2500
0.7500 0.2500 0.2500
0.7500 0.7500 0.7500
0.0000 0.0000 0.5000
0.0000 0.5000 0.0000
0.5000 0.0000 0.0000
0.5000 0.5000 0.5000
```

space group = No. 216
energy relative to the elements, uncorrected = -0.359 eV/atom

No. 2
Material: Li2Tb2SmSi2
Method: DFT, GGA-PBE
State: optimized geometry

```
Li2Tb2SmSi2
1.0
2.2340 1.2898 8.9154
-2.2340 1.2898 8.9154
0.0000 -2.5797 8.9154
Li Tb Sm Si
2 2 1 2
direct
0.0979 0.0979 0.0979
0.9021 0.9021 0.9021
0.3724 0.3724 0.3724
0.6276 0.6276 0.6276
0.5000 0.5000 0.5000
0.2386 0.2386 0.2386
0.7614 0.7614 0.7614
```

space group = No. 166
energy relative to the elements, uncorrected = -0.397 eV/atom

Computed magnetization (μB/atom) in order:
0.000 0.000